# Li5TiV3O8 | the Alexandria database | PBE+U | relaxed
data_Li5TiV3O8
_space_group_name_H-M_alt 'C 1 m 1'
_space_group_IT_number 8
_space_group_name_Hall 'C -2y'
_cell_length_a 12.485
_cell_length_b 4.181
_cell_length_c 6.784
_cell_angle_alpha 90.00
_cell_angle_beta 108.18
_cell_angle_gamma 90.00
loop_
_atom_site_label
_atom_site_fract_x
_atom_site_fract_y
_atom_site_fract_z
Li1 0.000 0.000 0.000
Li2 0.054 0.500 0.354
Li3 0.116 0.000 0.743
Li4 0.245 0.000 0.363
Li5 0.382 0.500 0.374
Ti1 0.272 0.500 0.678
V1 0.171 0.500 0.053
V2 0.341 0.000 0.046
V3 0.449 0.000 0.691
O1 0.000 0.500 0.031
O2 0.122 0.500 0.710
O3 0.175 0.000 0.052
O4 0.218 0.500 0.387
O5 0.277 0.000 0.701
O6 0.336 0.500 0.018
O7 0.403 0.000 0.362
O8 0.437 0.500 0.690
# - Crystal system: monoclinic
# - Energy: -230.81 eV per cell